# CdInPt2

A relaxed structure of CdInPt2 (PBE, Alexandria via LeMat-Bulk).

Properties
SG   No. 12
Calculated total energy   -4.159 eV/atom
E_form   -225 meV per atom

```
CdInPt2
1.0
-2.703 -3.457 -1.698
-1.679 -4.243 1.149
-4.828 1.287 2.092
Pt Cd In
2 1 1
Direct
0.997 0.997 0.004
0.503 0.503 0.496
0.750 0.750 0.750
0.250 0.250 0.250
```